Density functional theory data (PBE) for crystalline PmPbCl6 at its relaxed geometry.

energy relative to the elements, uncorrected	-1.473	eV/atom
VASP energy	-0.288	Ry per atom
space-group type	R-3 (148)
crystal system	trigonal
calculated volume	31.43	Å³/atom

a = 6.8124 Å, b = 6.8133 Å, c = 7.3895 Å
α = 62.54°, β = 62.54°, γ = 60.00°
With the nearest neighbours (Å) after each atom.
Sites, in units of the cell vectors:
Pm: 0.0000 0.0000 0.0000  6 Cl 2.74
Pb: 0.5000 0.5000 0.5000  6 Cl 2.76
Cl: 0.0858 0.4118 0.7509  1 Pm 2.74, 1 Pb 2.76
Cl: 0.7514 0.0859 0.7510  1 Pm 2.74, 1 Pb 2.76
Cl: 0.5883 0.2485 0.2491  1 Pm 2.74, 1 Pb 2.76
Cl: 0.2486 0.9141 0.2490  1 Pm 2.74, 1 Pb 2.76
Cl: 0.9142 0.5882 0.2491  1 Pm 2.74, 1 Pb 2.76
Cl: 0.4117 0.7515 0.7509  1 Pm 2.74, 1 Pb 2.76

---

Density functional theory data (PBE) for crystalline YZrV at its relaxed geometry.

polymorph energy (0 for the lowest one)	67	meV/atom
VASP energy	-0.573	Ry per atom
DFT formation energy	0.25	eV per atom
space-group type	P-1 (2)
crystal system	triclinic
calculated volume	23.21	Å³/atom

a = 4.1856 Å, b = 5.7863 Å, c = 6.1528 Å
α = 82.65°, β = 82.16°, γ = 71.29°
With the nearest neighbours (Å) after each atom.
Sites, in units of the cell vectors:
Y: 0.6245 0.4117 0.7342  4 V 3.05-3.41, 1 Y 3.13, 4 Zr 3.17-3.35
Y: 0.3755 0.5883 0.2658  4 V 3.05-3.41, 1 Y 3.13, 4 Zr 3.17-3.35
Zr: 0.8463 0.8436 0.8871  3 V 2.74-3.04
Zr: 0.1537 0.1564 0.1129  3 V 2.74-3.04
V: 0.2836 0.0233 0.5939  1 V 1.97
V: 0.7164 0.9767 0.4061  1 V 1.97

---

Density functional theory data (PBE) for crystalline MgCd3Pt12 at its relaxed geometry.

VASP energy	-0.375	Ry per atom
DFT formation energy	-0.29	eV per atom
space-group type	P4/mmm (123)
crystal system	tetragonal
calculated volume	16.25	Å³/atom

a = 4.0204 Å, b = 4.0204 Å, c = 16.0823 Å
α = 90.00°, β = 90.00°, γ = 90.00°
With the nearest neighbours (Å) after each atom.
Sites, in units of the cell vectors:
Mg: 0.0000 0.0000 0.0000  12 Pt 2.79-2.84
Cd: 0.0000 0.0000 0.2475  12 Pt 2.84-2.87
Cd: 0.0000 0.0000 0.5000  12 Pt 2.84-2.86
Cd: 0.0000 0.0000 0.7525  12 Pt 2.84-2.87
Pt: 0.5000 0.5000 0.0000  8 Pt 2.79, 4 Mg 2.84
Pt: 0.5000 0.5000 0.2471  4 Cd 2.84, 8 Pt 2.86
Pt: 0.5000 0.5000 0.5000  4 Cd 2.84, 8 Pt 2.86
Pt: 0.5000 0.5000 0.7529  4 Cd 2.84, 8 Pt 2.86
Pt: 0.5000 0.0000 0.1203  8 Pt 2.79-2.86, 2 Mg 2.79, 2 Cd 2.87
Pt: 0.5000 0.0000 0.3737  8 Pt 2.84-2.86, 4 Cd 2.86
Pt: 0.5000 0.0000 0.6263  8 Pt 2.84-2.86, 4 Cd 2.86
Pt: 0.5000 0.0000 0.8797  8 Pt 2.79-2.86, 2 Mg 2.79, 2 Cd 2.87
Pt: 0.0000 0.5000 0.1203  8 Pt 2.79-2.86, 2 Mg 2.79, 2 Cd 2.87
Pt: 0.0000 0.5000 0.3737  8 Pt 2.84-2.86, 4 Cd 2.86
Pt: 0.0000 0.5000 0.6263  8 Pt 2.84-2.86, 4 Cd 2.86
Pt: 0.0000 0.5000 0.8797  8 Pt 2.79-2.86, 2 Mg 2.79, 2 Cd 2.87

---

Density functional theory data (PBE) for crystalline Y12Mn5Co2 at its relaxed geometry.

VASP energy	-0.494	Ry per atom
DFT formation energy	0.52	eV per atom
space-group type	R-3m (166)
crystal system	trigonal
calculated volume	26.24	Å³/atom

a = 8.1636 Å, b = 8.1636 Å, c = 8.1636 Å
α = 75.32°, β = 75.32°, γ = 75.32°
With the nearest neighbours (Å) after each atom.
Sites, in units of the cell vectors:
Y: 0.3120 0.6880 0.0000  4 Y 3.11-3.33, 4 Mn 3.27-3.29, 2 Co 3.48
Y: 0.0000 0.3120 0.6880  4 Y 3.11-3.33, 4 Mn 3.27-3.29, 2 Co 3.48
Y: 0.6880 0.0000 0.3120  4 Y 3.11-3.33, 4 Mn 3.27-3.29, 2 Co 3.48
Y: 0.6880 0.3120 0.0000  4 Y 3.11-3.33, 4 Mn 3.27-3.29, 2 Co 3.48
Y: 0.0000 0.6880 0.3120  4 Y 3.11-3.33, 4 Mn 3.27-3.29, 2 Co 3.48
Y: 0.3120 0.0000 0.6880  4 Y 3.11-3.33, 4 Mn 3.27-3.29, 2 Co 3.48
Y: 0.6963 0.6963 0.0645  2 Mn 2.60
Y: 0.0645 0.6963 0.6963  2 Mn 2.60
Y: 0.6963 0.0645 0.6963  2 Mn 2.60
Y: 0.9355 0.3037 0.3037  2 Mn 2.60
Y: 0.3037 0.3037 0.9355  2 Mn 2.60
Y: 0.3037 0.9355 0.3037  2 Mn 2.60
Mn: 0.0000 0.0000 0.5000  4 Y 2.60
Mn: 0.5000 0.0000 0.0000  4 Y 2.60
Mn: 0.0000 0.5000 0.0000  4 Y 2.60
Mn: 0.0579 0.0579 0.0579  1 Mn 2.01
Mn: 0.9421 0.9421 0.9421  1 Mn 2.01
Co: 0.3015 0.3015 0.3015  3 Y 2.98
Co: 0.6985 0.6985 0.6985  3 Y 2.98

---

Density functional theory data (PBE) for crystalline Ti6CuRh12 at its relaxed geometry.

VASP energy	-0.580	Ry per atom
DFT formation energy	-0.54	eV per atom
space-group type	R-3 (148)
crystal system	trigonal
calculated volume	14.67	Å³/atom

a = 7.2628 Å, b = 7.2628 Å, c = 7.2628 Å
α = 110.86°, β = 110.86°, γ = 110.86°
With the nearest neighbours (Å) after each atom.
Sites, in units of the cell vectors:
Ti: 0.6284 0.9123 0.4121  7 Rh 2.55-2.78
Ti: 0.5879 0.3716 0.0877  7 Rh 2.55-2.78
Ti: 0.0877 0.5879 0.3716  7 Rh 2.55-2.78
Ti: 0.3716 0.0877 0.5879  7 Rh 2.55-2.78
Ti: 0.4121 0.6284 0.9123  7 Rh 2.55-2.78
Ti: 0.9123 0.4121 0.6284  7 Rh 2.55-2.78
Cu: 0.0000 0.0000 0.0000  12 Rh 2.77-2.79
Rh: 0.7974 0.6772 0.5269  3 Ti 2.55-2.63, 7 Rh 2.68-2.84, 1 Cu 2.77
Rh: 0.5269 0.7974 0.6772  3 Ti 2.55-2.63, 7 Rh 2.68-2.84, 1 Cu 2.77
Rh: 0.6772 0.5269 0.7974  3 Ti 2.55-2.63, 7 Rh 2.68-2.84, 1 Cu 2.77
Rh: 0.2026 0.3228 0.4731  3 Ti 2.55-2.63, 7 Rh 2.68-2.84, 1 Cu 2.77
Rh: 0.4731 0.2026 0.3228  3 Ti 2.55-2.63, 7 Rh 2.68-2.84, 1 Cu 2.77
Rh: 0.3228 0.4731 0.2026  3 Ti 2.55-2.63, 7 Rh 2.68-2.84, 1 Cu 2.77
Rh: 0.8939 0.8315 0.2628  5 Ti 2.66-2.86, 6 Rh 2.68-2.84, 1 Cu 2.79
Rh: 0.1685 0.7372 0.1061  5 Ti 2.66-2.86, 6 Rh 2.68-2.84, 1 Cu 2.79
Rh: 0.7372 0.1061 0.1685  5 Ti 2.66-2.86, 6 Rh 2.68-2.84, 1 Cu 2.79
Rh: 0.1061 0.1685 0.7372  5 Ti 2.66-2.86, 6 Rh 2.68-2.84, 1 Cu 2.79
Rh: 0.8315 0.2628 0.8939  5 Ti 2.66-2.86, 6 Rh 2.68-2.84, 1 Cu 2.79
Rh: 0.2628 0.8939 0.8315  5 Ti 2.66-2.86, 6 Rh 2.68-2.84, 1 Cu 2.79

---

| no. | D(E_F) (states/eV per atom) |
| --- | --- |
| 1 | 0.70 |
| 2 | 1.09 |
| 3 | 0.93 |
| 4 | 1.17 |
| 5 | 0.89 |